VASP calculation (GGA-PBE) on a relaxed YMnMo3 crystal.

The structure belongs to space group Pm-3m (No. 221); the cell edges are 4.7352, 4.7352 and 4.7352 Å and the angles 90.00°, 90.00° and 90.00°. Symmetry generates all atoms from Y at (0.0000, 0.0000, 0.0000), Mn at (0.5000, 0.5000, 0.5000) and Mo at (0.0000, 0.0000, 0.5000).

The total magnetization comes out at 0.004 μB per atom. For the total energy, the calculation gives -6.69 eV/atom. Its polymorph energy (0 for the lowest one) is 2191 meV per atom.